*w*
Compound: Mg2Pd7Pt2
Source: Alexandria
Functional: GGA-PBE
Structure: optimized geometry

* magnetization: 0.000 μB/atom

abc: 4.2119 6.7758 7.3341
angles: 117.51 106.69 90.00
Sites, in units of the cell vectors:
Mg (0.3021, 0.9242, 0.6043)
Pd (0.5000, 0.9262, 0.0000)
Mg (0.6979, 0.3199, 0.3957)
Pt (0.5000, 0.3290, 0.0000)
Pd (0.8491, 0.7542, 0.6982)
Pt (0.0000, 0.6229, 0.0000)
Pd (0.3447, 0.4676, 0.6894)
Pd (0.8505, 0.1883, 0.7011)
Pd (0.1509, 0.0560, 0.3018)
Pd (0.1495, 0.4873, 0.2989)
Pd (0.6553, 0.7783, 0.3106)

*x*
Compound: Mg2Pd7Pt2
Source: Alexandria
Functional: GGA-PBE
Structure: optimized geometry

* magnetization: 0.000 μB/atom

abc: 4.7903 6.4477 6.4477
angles: 90.59 108.01 108.01
Sites, in units of the cell vectors:
Pd (0.3134, 0.5981, 0.5981)
Pd (0.6657, 0.9219, 0.4164)
Pd (0.3343, 0.5836, 0.0781)
Pd (0.5000, 0.0000, 0.0000)
Mg (0.0661, 0.2305, 0.2305)
Pd (0.3343, 0.0781, 0.5836)
Mg (0.9339, 0.7695, 0.7695)
Pt (0.0000, 0.2264, 0.7736)
Pt (0.0000, 0.7736, 0.2264)
Pd (0.6657, 0.4164, 0.9219)
Pd (0.6866, 0.4019, 0.4019)

Quick one: most stable of them? *w*

*w*
Compound: MgPd5Pt2
Source: Alexandria
Functional: GGA-PBE
Structure: optimized geometry

* magnetization: 0.000 μB/atom

abc: 6.8722 6.8722 7.3381
angles: 117.92 117.92 90.00
Sites, in units of the cell vectors:
Pd (0.9861, 0.4861, 0.6702)
Pd (0.0139, 0.5139, 0.3298)
Pd (0.4861, 0.6841, 0.6702)
Pd (0.0000, 0.0000, 0.0000)
Pt (0.3577, 0.8577, 0.0000)
Pd (0.5139, 0.3159, 0.3298)
Pd (0.1841, 0.9861, 0.6702)
Pt (0.1423, 0.3577, 0.0000)
Pt (0.6423, 0.1423, 0.0000)
Mg (0.7500, 0.7500, 0.5000)
Pd (0.6841, 0.1841, 0.6702)
Pd (0.8159, 0.0139, 0.3298)
Pd (0.3159, 0.8159, 0.3298)
Mg (0.2500, 0.2500, 0.5000)
Pt (0.8577, 0.6423, 0.0000)
Pd (0.5000, 0.5000, 0.0000)

*x*
Compound: MgPd5Pt2
Source: Alexandria
Functional: GGA-PBE
Structure: optimized geometry

* magnetization: 0.000 μB/atom

abc: 3.9760 5.5754 11.1819
angles: 90.00 90.00 90.00
Sites, in units of the cell vectors:
Pd (0.5000, 0.7612, 0.6230)
Pd (0.0000, 0.5000, 0.5000)
Pd (0.0000, 0.0000, 0.0000)
Pd (0.0000, 0.5157, 0.7532)
Mg (0.0000, 0.0000, 0.5000)
Pd (0.5000, 0.2388, 0.3770)
Pt (0.5000, 0.2377, 0.1268)
Pd (0.5000, 0.7388, 0.1230)
Pt (0.5000, 0.2623, 0.6268)
Pd (0.0000, 0.9843, 0.2532)
Pd (0.0000, 0.0157, 0.7468)
Pd (0.0000, 0.4843, 0.2468)
Pt (0.5000, 0.7377, 0.3732)
Pd (0.5000, 0.2612, 0.8770)
Mg (0.0000, 0.5000, 0.0000)
Pt (0.5000, 0.7623, 0.8732)

Quick one: most stable of them? *x*

*w*
Compound: Mg4PdPt
Source: Alexandria
Functional: GGA-PBE
Structure: optimized geometry

* magnetization: 0.000 μB/atom

abc: 3.3273 5.4178 7.1510
angles: 109.71 76.55 72.12
Sites, in units of the cell vectors:
Mg (0.3217, 0.0299, 0.3266)
Pt (0.5000, 0.5000, 0.5000)
Mg (0.6783, 0.9701, 0.6734)
Mg (0.8264, 0.5254, 0.8219)
Pd (0.0000, 0.0000, 0.0000)
Mg (0.1736, 0.4746, 0.1781)

*x*
Compound: Mg4PdPt
Source: Alexandria
Functional: GGA-PBE
Structure: optimized geometry

* magnetization: 0.000 μB/atom

abc: 4.4516 4.4520 6.2866
angles: 89.97 90.00 90.01
Sites, in units of the cell vectors:
Pd (0.0012, 0.9974, 0.4981)
Mg (0.5014, 0.9969, 0.2442)
Pt (0.5012, 0.4974, 0.9981)
Mg (0.5013, 0.9975, 0.7520)
Mg (0.0013, 0.4971, 0.2443)
Mg (0.0013, 0.4974, 0.7520)

Quick one: most stable of them? *w*

*w*
Compound: MgPdPt4
Source: Alexandria
Functional: GGA-PBE
Structure: optimized geometry

* magnetization: 0.000 μB/atom

abc: 4.8774 5.5926 7.0868
angles: 90.00 104.00 90.00
Sites, in units of the cell vectors:
Pt (0.7867, 0.9969, 0.3299)
Mg (0.2829, 0.7500, 0.3357)
Pt (0.5020, 0.2500, 0.0002)
Pt (0.0000, 0.0000, 0.0000)
Pt (0.2133, 0.4969, 0.6701)
Pt (0.4980, 0.7500, 0.9998)
Mg (0.7171, 0.2500, 0.6643)
Pt (0.0000, 0.5000, 0.0000)
Pt (0.2133, 0.0031, 0.6701)
Pt (0.7867, 0.5031, 0.3299)
Pd (0.7140, 0.7500, 0.6588)
Pd (0.2860, 0.2500, 0.3412)

*x*
Compound: MgPdPt4
Source: Alexandria
Functional: GGA-PBE
Structure: optimized geometry

* magnetization: 0.000 μB/atom

abc: 5.2607 5.2607 5.2607
angles: 60.00 60.00 60.00
Sites, in units of the cell vectors:
Pt (0.6249, 0.6249, 0.1253)
Mg (0.0000, 0.0000, 0.0000)
Pt (0.6249, 0.6249, 0.6249)
Pt (0.1253, 0.6249, 0.6249)
Pd (0.2500, 0.2500, 0.2500)
Pt (0.6249, 0.1253, 0.6249)

Quick one: most stable of them? *w*